# 1
{
  "formula": "NiGePd5",
  "functional": "PBE",
  "state": "optimized geometry",
  "sg": "No. 15",
  "volume_a3_per_atom": 15.90,
  "formation_energy_ev_per_atom": -0.0706,
  "lattice": [[5.578, -3.397, 0.000], [5.578, 3.397, 0.000], [-4.976, 0.000, 5.872]],
  "species": ["Ni", "Ni", "Ge", "Ge", "Pd", "Pd", "Pd", "Pd", "Pd", "Pd", "Pd", "Pd", "Pd", "Pd"],
  "frac_coords": [[0.000, 0.500, 0.000], [0.500, 0.000, 0.500], [0.079, 0.921, 0.750], [0.921, 0.079, 0.250], [0.215, 0.782, 0.443], [0.218, 0.785, 0.057], [0.250, 0.279, 0.282], [0.279, 0.250, 0.782], [0.444, 0.556, 0.750], [0.556, 0.444, 0.250], [0.721, 0.750, 0.218], [0.750, 0.721, 0.718], [0.782, 0.215, 0.943], [0.785, 0.218, 0.557]]
}


# 2
{
  "formula": "NiGePd",
  "functional": "PBE",
  "state": "optimized geometry",
  "sg": "No. 129",
  "volume_a3_per_atom": 13.93,
  "formation_energy_ev_per_atom": -0.4581,
  "lattice": [[3.640, 0.000, 0.000], [0.000, 3.640, 0.000], [0.000, 0.000, 6.305]],
  "species": ["Ni", "Ni", "Ge", "Ge", "Pd", "Pd"],
  "frac_coords": [[0.250, 0.750, 0.000], [0.750, 0.250, 0.000], [0.250, 0.250, 0.245], [0.750, 0.750, 0.755], [0.250, 0.250, 0.640], [0.750, 0.750, 0.360]]
}


# 3
{
  "formula": "Ni2Ge2Pd",
  "functional": "PBE",
  "state": "optimized geometry",
  "sg": "No. 2",
  "volume_a3_per_atom": 13.80,
  "formation_energy_ev_per_atom": -0.2877,
  "lattice": [[2.988, 0.000, 0.000], [1.469, 3.991, 0.000], [1.477, 0.888, 5.784]],
  "species": ["Ni", "Ni", "Ge", "Ge", "Pd"],
  "frac_coords": [[0.097, 0.196, 0.109], [0.903, 0.804, 0.891], [0.328, 0.610, 0.238], [0.672, 0.390, 0.762], [0.500, 0.000, 0.500]]
}


# 4
{
  "formula": "Ni12Ge6Pd",
  "functional": "PBE",
  "state": "optimized geometry",
  "sg": "No. 166",
  "volume_a3_per_atom": 13.41,
  "formation_energy_ev_per_atom": -0.0851,
  "lattice": [[5.336, 3.081, 2.582], [-5.336, 3.081, 2.582], [0.000, -6.162, 2.582]],
  "species": ["Ni", "Ni", "Ni", "Ni", "Ni", "Ni", "Ni", "Ni", "Ni", "Ni", "Ni", "Ni", "Ge", "Ge", "Ge", "Ge", "Ge", "Ge", "Pd"],
  "frac_coords": [[0.000, 0.382, 0.618], [0.000, 0.618, 0.382], [0.103, 0.103, 0.349], [0.103, 0.349, 0.103], [0.349, 0.103, 0.103], [0.382, 0.000, 0.618], [0.382, 0.618, 0.000], [0.618, 0.000, 0.382], [0.618, 0.382, 0.000], [0.651, 0.897, 0.897], [0.897, 0.651, 0.897], [0.897, 0.897, 0.651], [0.209, 0.769, 0.769], [0.231, 0.231, 0.791], [0.231, 0.791, 0.231], [0.769, 0.209, 0.769], [0.769, 0.769, 0.209], [0.791, 0.231, 0.231], [0.500, 0.500, 0.500]]
}


# 5
{
  "formula": "Ni2Ge2Pd",
  "functional": "PBE",
  "state": "optimized geometry",
  "sg": "No. 1",
  "volume_a3_per_atom": 14.05,
  "formation_energy_ev_per_atom": -0.2687,
  "lattice": [[4.528, 0.000, 0.000], [-0.458, 4.880, 0.000], [-1.350, -0.861, 6.360]],
  "species": ["Ni", "Ni", "Ni", "Ni", "Ge", "Ge", "Ge", "Ge", "Pd", "Pd"],
  "frac_coords": [[0.000, 0.000, 0.000], [0.055, 0.724, 0.662], [0.619, 0.555, 0.877], [0.793, 0.181, 0.630], [0.110, 0.005, 0.392], [0.141, 0.481, 0.962], [0.473, 0.048, 0.867], [0.494, 0.535, 0.507], [0.539, 0.862, 0.236], [0.924, 0.441, 0.280]]
}


# 6
{
  "formula": "Ni2GePd",
  "functional": "PBE",
  "state": "optimized geometry",
  "sg": "No. 10",
  "volume_a3_per_atom": 13.09,
  "formation_energy_ev_per_atom": -0.1623,
  "lattice": [[2.771, 0.000, 0.000], [0.000, 3.741, 0.000], [-1.112, 0.000, 5.053]],
  "species": ["Ni", "Ni", "Ge", "Pd"],
  "frac_coords": [[0.094, 0.000, 0.268], [0.906, 0.000, 0.732], [0.500, 0.500, 0.500], [0.500, 0.500, 0.000]]
}


# 7
{
  "formula": "Ni4Ge2Pd",
  "functional": "PBE",
  "state": "optimized geometry",
  "sg": "No. 136",
  "volume_a3_per_atom": 13.07,
  "formation_energy_ev_per_atom": -0.2402,
  "lattice": [[6.921, 0.000, 0.000], [0.000, 6.921, 0.000], [0.000, 0.000, 3.819]],
  "species": ["Ni", "Ni", "Ni", "Ni", "Ni", "Ni", "Ni", "Ni", "Ge", "Ge", "Ge", "Ge", "Pd", "Pd"],
  "frac_coords": [[0.096, 0.353, 0.000], [0.147, 0.596, 0.500], [0.353, 0.096, 0.000], [0.404, 0.853, 0.500], [0.596, 0.147, 0.500], [0.647, 0.904, 0.000], [0.853, 0.404, 0.500], [0.904, 0.647, 0.000], [0.218, 0.782, 0.000], [0.282, 0.282, 0.500], [0.718, 0.718, 0.500], [0.782, 0.218, 0.000], [0.000, 0.000, 0.500], [0.500, 0.500, 0.000]]
}


# 8
{
  "formula": "Ni3GePd",
  "functional": "PBE",
  "state": "optimized geometry",
  "sg": "No. 221",
  "volume_a3_per_atom": 18.87,
  "formation_energy_ev_per_atom": 1.1949,
  "lattice": [[4.553, 0.000, 0.000], [0.000, 4.553, 0.000], [0.000, 0.000, 4.553]],
  "species": ["Ni", "Ni", "Ni", "Ge", "Pd"],
  "frac_coords": [[0.000, 0.000, 0.500], [0.000, 0.500, 0.000], [0.500, 0.000, 0.000], [0.500, 0.500, 0.500], [0.000, 0.000, 0.000]]
}


# 9
{
  "formula": "Ni2GePd2",
  "functional": "PBE",
  "state": "optimized geometry",
  "sg": "No. 127",
  "volume_a3_per_atom": 14.05,
  "formation_energy_ev_per_atom": -0.0963,
  "lattice": [[5.952, 0.000, 0.000], [0.000, 5.952, 0.000], [0.000, 0.000, 3.965]],
  "species": ["Ni", "Ni", "Ni", "Ni", "Ge", "Ge", "Pd", "Pd", "Pd", "Pd"],
  "frac_coords": [[0.137, 0.363, 0.000], [0.363, 0.863, 0.000], [0.637, 0.137, 0.000], [0.863, 0.637, 0.000], [0.000, 0.000, 0.000], [0.500, 0.500, 0.000], [0.167, 0.667, 0.500], [0.333, 0.167, 0.500], [0.667, 0.833, 0.500], [0.833, 0.333, 0.500]]
}


# 10
{
  "formula": "NiGePd",
  "functional": "PBE",
  "state": "optimized geometry",
  "sg": "No. 12",
  "volume_a3_per_atom": 14.52,
  "formation_energy_ev_per_atom": -0.3000,
  "lattice": [[3.479, -2.008, 0.000], [3.479, 2.008, 0.000], [-2.331, 0.000, 6.237]],
  "species": ["Ni", "Ni", "Ge", "Ge", "Pd", "Pd"],
  "frac_coords": [[0.134, 0.134, 0.401], [0.866, 0.866, 0.599], [0.428, 0.428, 0.283], [0.572, 0.572, 0.717], [0.288, 0.288, 0.863], [0.712, 0.712, 0.137]]
}


# 11
{
  "formula": "Ni2GePd8",
  "functional": "PBE",
  "state": "optimized geometry",
  "sg": "No. 12",
  "volume_a3_per_atom": 15.95,
  "formation_energy_ev_per_atom": 0.1001,
  "lattice": [[5.813, -3.283, 0.000], [5.813, 3.283, 0.000], [-1.270, 0.000, 4.596]],
  "species": ["Ni", "Ni", "Ge", "Pd", "Pd", "Pd", "Pd", "Pd", "Pd", "Pd", "Pd"],
  "frac_coords": [[0.113, 0.113, 0.493], [0.887, 0.887, 0.507], [0.000, 0.000, 0.000], [0.222, 0.222, 0.077], [0.233, 0.637, 0.218], [0.343, 0.343, 0.657], [0.363, 0.767, 0.782], [0.637, 0.233, 0.218], [0.657, 0.657, 0.343], [0.767, 0.363, 0.782], [0.778, 0.778, 0.923]]
}


# 12
{
  "formula": "Ni3GePd",
  "functional": "PBE",
  "state": "optimized geometry",
  "sg": "No. 221",
  "volume_a3_per_atom": 15.82,
  "formation_energy_ev_per_atom": 0.6319,
  "lattice": [[4.292, 0.000, 0.000], [0.000, 4.292, 0.000], [0.000, 0.000, 4.292]],
  "species": ["Ni", "Ni", "Ni", "Ge", "Pd"],
  "frac_coords": [[0.000, 0.000, 0.500], [0.000, 0.500, 0.000], [0.500, 0.000, 0.000], [0.000, 0.000, 0.000], [0.500, 0.500, 0.500]]
}